# Pr2TiTlO6, relaxed, DFT PBE-GGA
data_Pr2TiTlO6
_cell_length_a 5.3495
_cell_length_b 5.5440
_cell_length_c 5.5440
_cell_angle_alpha 90.00
_cell_angle_beta 90.00
_cell_angle_gamma 90.00
_symmetry_space_group_name_H-M 'P 1'
_symmetry_Int_Tables_number 1
_symmetry_space_group_name_Hall 'P 1'
loop_
_atom_site_label
_atom_site_fract_x
_atom_site_fract_y
_atom_site_fract_z
Tl1 0.5304 0.5000 0.5000
O1 0.7419 0.2289 0.2289
O2 0.7419 0.7711 0.7711
Pr1 0.9865 0.0000 0.5000
O3 0.1089 0.5000 0.5000
Pr2 0.9865 0.5000 0.0000
O4 0.7419 0.7711 0.2289
O5 0.7419 0.2289 0.7711
O6 0.2627 0.0000 0.0000
Ti1 0.6040 0.0000 0.0000
# raw formation energy: -25.35 eV/f.u.
# crystal system: tetragonal

# TaGeO, relaxed, DFT PBE-GGA
data_TaGeO
_cell_length_a 2.8009
_cell_length_b 12.7891
_cell_length_c 5.2448
_cell_angle_alpha 90.00
_cell_angle_beta 90.00
_cell_angle_gamma 90.00
_symmetry_space_group_name_H-M 'P 1'
_symmetry_Int_Tables_number 1
_symmetry_space_group_name_Hall 'P 1'
loop_
_atom_site_label
_atom_site_fract_x
_atom_site_fract_y
_atom_site_fract_z
O1 0.0000 0.2457 0.6683
Ge1 0.0000 0.0209 0.1933
Ge2 0.0000 0.9791 0.6933
Ta1 0.5000 0.1555 0.8689
O2 0.5000 0.2543 0.1683
O3 0.5000 0.7457 0.6683
O4 0.0000 0.7543 0.1683
Ta2 0.5000 0.8445 0.3689
Ta3 0.0000 0.6555 0.8689
Ge3 0.5000 0.4791 0.6933
Ta4 0.0000 0.3445 0.3689
Ge4 0.5000 0.5209 0.1933
# raw formation energy: -3.33 eV/f.u.
# energy above the most stable polymorph in this dataset: 118 meV/atom
# crystal system: orthorhombic

# Bi2P3Se9, relaxed, DFT PBE-GGA
data_Bi2P3Se9
_cell_length_a 6.9723
_cell_length_b 12.4998
_cell_length_c 18.3228
_cell_angle_alpha 94.23
_cell_angle_beta 90.19
_cell_angle_gamma 92.01
_symmetry_space_group_name_H-M 'P 1'
_symmetry_Int_Tables_number 1
_symmetry_space_group_name_Hall 'P 1'
loop_
_atom_site_label
_atom_site_fract_x
_atom_site_fract_y
_atom_site_fract_z
P1 0.5658 0.9206 0.5110
Se1 0.7859 0.3005 0.2580
P2 0.4342 0.0794 0.4890
Se2 0.3789 0.5121 0.2597
Se3 0.2999 0.2740 0.7742
Se4 0.7001 0.7260 0.2258
Bi1 0.0164 0.0922 0.1131
Se5 0.3310 0.5949 0.4475
Bi2 0.9352 0.5321 0.1910
Se6 0.8446 0.5651 0.3748
Se7 0.3200 0.9385 0.1113
Se8 0.6439 0.1520 0.4143
Se9 0.1554 0.4349 0.6252
Bi3 0.9836 0.9078 0.8869
Bi4 0.4341 0.9837 0.3133
Se10 0.1156 0.9912 0.7502
Se11 0.8291 0.9678 0.5759
Se12 0.3516 0.5151 0.9157
Se13 0.1606 0.3820 0.0906
P3 0.9549 0.8348 0.2281
Se14 0.1661 0.1068 0.9519
Se15 0.6690 0.4051 0.5525
P4 0.5400 0.2527 0.1840
Se16 0.2141 0.6995 0.7420
Se17 0.6244 0.8360 0.4039
Se18 0.3905 0.8363 0.9197
Se19 0.1222 0.3217 0.4162
Bi5 0.4732 0.5975 0.6159
Se20 0.8667 0.3470 0.9152
P5 0.0602 0.4902 0.4427
Se21 0.8394 0.6180 0.9094
Se22 0.8339 0.8932 0.0481
Se23 0.1709 0.0322 0.4241
Se24 0.6484 0.4849 0.0843
Se25 0.8778 0.6783 0.5838
P6 0.0451 0.1652 0.7719
Se26 0.8152 0.2148 0.7021
Se27 0.6095 0.1637 0.0803
P7 0.5709 0.5873 0.8451
Se28 0.6800 0.0615 0.8887
P8 0.9304 0.1769 0.8875
Se29 0.7108 0.8123 0.7566
Bi6 0.5659 0.0163 0.6867
Bi7 0.5268 0.4025 0.3841
Se30 0.3561 0.8480 0.5857
P9 0.4600 0.7473 0.8160
P10 0.0696 0.8231 0.1125
Se31 0.8844 0.0088 0.2498
P11 0.9398 0.5098 0.5573
Se32 0.1333 0.6530 0.0848
Se33 0.2892 0.1877 0.2434
Se34 0.3756 0.1640 0.5961
Bi8 0.0648 0.4679 0.8090
Se35 0.1848 0.7852 0.2979
P12 0.4291 0.4127 0.1549
Se36 0.6211 0.4879 0.7403
# raw formation energy: -2.63 eV/f.u.
# energy above the most stable polymorph in this dataset: 4 meV/atom
# crystal system: triclinic

# K2LaTe, relaxed, DFT PBE-GGA
data_K2LaTe
_cell_length_a 5.9764
_cell_length_b 5.9764
_cell_length_c 5.9764
_cell_angle_alpha 60.00
_cell_angle_beta 60.00
_cell_angle_gamma 60.00
_symmetry_space_group_name_H-M 'P 1'
_symmetry_Int_Tables_number 1
_symmetry_space_group_name_Hall 'P 1'
loop_
_atom_site_label
_atom_site_fract_x
_atom_site_fract_y
_atom_site_fract_z
K1 0.2500 0.2500 0.2500
Te1 0.7500 0.7500 0.7500
K2 0.0000 0.0000 0.0000
La1 0.5000 0.5000 0.5000
# raw formation energy: -0.50 eV/f.u.
# crystal system: cubic

# Sr2YPaAs4, relaxed, DFT PBE-GGA
data_Sr2YPaAs4
_cell_length_a 4.2827
_cell_length_b 7.3237
_cell_length_c 7.5427
_cell_angle_alpha 108.93
_cell_angle_beta 90.00
_cell_angle_gamma 90.00
_symmetry_space_group_name_H-M 'P 1'
_symmetry_Int_Tables_number 1
_symmetry_space_group_name_Hall 'P 1'
loop_
_atom_site_label
_atom_site_fract_x
_atom_site_fract_y
_atom_site_fract_z
As1 0.0000 0.2500 0.7803
As2 0.5000 0.7683 0.7829
Y1 0.5000 0.5000 0.0000
As3 0.0000 0.7500 0.2197
Pa1 0.0000 0.0000 0.0000
Sr1 0.5000 0.0000 0.5000
Sr2 0.0000 0.5000 0.5000
As4 0.5000 0.2317 0.2171
# formation energy from the elements: -1.28 eV/atom
# crystal system: monoclinic

# Tb6PrSm8, relaxed, DFT PBE-GGA
data_Tb6PrSm8
_cell_length_a 9.1414
_cell_length_b 9.1414
_cell_length_c 8.7359
_cell_angle_alpha 58.45
_cell_angle_beta 58.45
_cell_angle_gamma 60.00
_symmetry_space_group_name_H-M 'P 1'
_symmetry_Int_Tables_number 1
_symmetry_space_group_name_Hall 'P 1'
loop_
_atom_site_label
_atom_site_fract_x
_atom_site_fract_y
_atom_site_fract_z
Sm1 0.2526 0.8878 0.5784
Sm2 0.7187 0.7474 0.4216
Tb1 0.4634 0.7570 0.8798
Sm3 0.4228 0.4228 0.7316
Sm4 0.2813 0.2526 0.5784
Pr1 0.0000 0.0000 0.0000
Tb2 0.5366 0.2430 0.1202
Tb3 0.8998 0.4634 0.8798
Sm5 0.7474 0.1122 0.4216
Tb4 0.1002 0.5366 0.1202
Tb5 0.7570 0.8998 0.8798
Sm6 0.8878 0.2813 0.5784
Sm7 0.5772 0.5772 0.2684
Tb6 0.2430 0.1002 0.1202
Sm8 0.1122 0.7187 0.4216
# formation energy from the elements: 0.13 eV/atom
# crystal system: trigonal